VASP calculation (PBE) on a geometry-optimized TaNiAgSnOsC structure.

Cell: 3.744 5.016 5.903 Å, 77.92 90.01 68.12°
Atoms (fractional coordinates):
Ta: 0.619 0.590 0.961
Os: 0.295 0.239 0.887
Sn: 0.934 0.960 0.211
Ni: 0.965 0.899 0.662
C: 0.434 0.962 0.679
Ag: 0.230 0.367 0.384

Values from the calculation:
Excess energy over the best structure of this formula in the dataset, eV/atom: 0.1949
Electronic total energy, eV per cell: -43.3
SG: Cm

---

VASP calculation (PBE) on a geometry-optimized TaNiAgSnOsC structure.

Cell: 3.255 5.577 5.663 Å, 94.06 106.74 106.99°
Atoms (fractional coordinates):
C: 0.469 0.005 0.142
Ta: 0.742 0.387 0.305
Os: 0.235 0.631 0.047
Sn: 0.400 0.241 0.768
Ni: 0.039 0.962 0.323
Ag: 0.591 0.757 0.633

Values from the calculation:
Excess energy over the best structure of this formula in the dataset, eV/atom: 0.1141
Electronic total energy, eV per cell: -43.7
SG: Cm

---

VASP calculation (PBE) on a geometry-optimized TaNiAgSnOsC structure.

Cell: 4.707 3.132 6.584 Å, 90.00 107.39 90.00°
Atoms (fractional coordinates):
C: 0.280 0.000 0.139
Ta: 0.611 0.500 0.251
Ag: 0.384 0.500 0.750
Sn: 0.830 0.000 0.658
Ni: 0.126 0.000 0.383
Os: 0.002 0.500 0.038

Values from the calculation:
Excess energy over the best structure of this formula in the dataset, eV/atom: 0.0454
Electronic total energy, eV per cell: -44.2
SG: Pm